No. 1
## LaPr7Nd3 (PBE-GGA)

Data for a relaxed LaPr7Nd3 crystal. Values from VASP.

## Properties
The calculated volume comes out at 406.79 Å³ per cell. The total DFT energy (no corrections) comes out at -50.52 eV/f.u. The formation energy comes out at 197 meV per atom. The polymorph energy (0 for the lowest one) comes out at 4 meV/atom.

Cell and atoms, written as Quantum ESPRESSO input:
```
&SYSTEM
  ibrav = 0, nat = 11, ntyp = 3
/
ATOMIC_SPECIES
La 138.91 La.upf
Pr 140.91 Pr.upf
Nd 144.24 Nd.upf
ATOMIC_POSITIONS crystal
La 0.000 0.000 0.000
Pr 0.000 0.500 0.500
Pr 0.097 0.300 0.797
Pr 0.292 0.000 0.292
Pr 0.497 0.700 0.797
Pr 0.503 0.300 0.203
Pr 0.708 0.000 0.708
Pr 0.903 0.700 0.203
Nd 0.293 0.793 0.500
Nd 0.500 0.500 0.000
Nd 0.707 0.207 0.500
CELL_PARAMETERS angstrom
-3.041 5.772 5.794
3.041 -5.772 5.794
3.041 5.772 -5.794
```

=====

No. 2
## Y2TaBr (PBE-GGA)

Data for a relaxed Y2TaBr crystal. Values from VASP.

## Properties
The calculated volume comes out at 104.33 Å³ per cell. The total DFT energy (no corrections) comes out at -25.33 eV/f.u. The polymorph energy (0 for the lowest one) comes out at 562 meV/atom. As for the formation energy without anion corrections: 0.281 eV/atom.

Cell and atoms, written as Quantum ESPRESSO input:
```
&SYSTEM
  ibrav = 0, nat = 4, ntyp = 3
/
ATOMIC_SPECIES
Y 88.91 Y.upf
Ta 180.95 Ta.upf
Br 79.90 Br.upf
ATOMIC_POSITIONS crystal
Y 0.238 0.238 0.000
Y 0.762 0.762 0.000
Ta 0.500 0.000 0.500
Br 0.000 0.500 0.500
CELL_PARAMETERS angstrom
-1.715 3.049 4.988
1.715 -3.049 4.988
1.715 3.049 -4.988
```

=====

No. 3
## GdTmRhPb (PBE-GGA)

Data for a relaxed GdTmRhPb crystal. Values from VASP.

## Properties
The calculated volume comes out at 96.18 Å³ per cell. The total DFT energy (no corrections) comes out at -31.66 eV/f.u. The formation energy comes out at -512 meV per atom.

Cell and atoms, written as Quantum ESPRESSO input:
```
&SYSTEM
  ibrav = 0, nat = 4, ntyp = 4
/
ATOMIC_SPECIES
Gd 157.25 Gd.upf
Tm 168.93 Tm.upf
Rh 102.91 Rh.upf
Pb 207.20 Pb.upf
ATOMIC_POSITIONS crystal
Gd 0.000 0.000 0.000
Tm 0.500 0.500 0.500
Rh 0.750 0.750 0.750
Pb 0.250 0.250 0.250
CELL_PARAMETERS angstrom
0.000 3.636 3.636
3.636 0.000 3.636
3.636 3.636 0.000
```

=====

No. 4
## KGaSbTe2 (PBE-GGA)

Data for a relaxed KGaSbTe2 crystal. Values from VASP.

## Properties
The calculated volume comes out at 218.31 Å³ per cell. The total DFT energy (no corrections) comes out at -10.35 eV/f.u. The polymorph energy (0 for the lowest one) comes out at 889 meV/atom. As for the formation energy without anion corrections: 0.837 eV/atom.

Cell and atoms, written as Quantum ESPRESSO input:
```
&SYSTEM
  ibrav = 0, nat = 5, ntyp = 4
/
ATOMIC_SPECIES
K 39.10 K.upf
Ga 69.72 Ga.upf
Sb 121.76 Sb.upf
Te 127.60 Te.upf
ATOMIC_POSITIONS crystal
K 0.000 0.000 0.000
Ga 0.500 0.500 0.500
Sb 0.000 0.000 0.500
Te 0.000 0.500 0.000
Te 0.500 0.000 0.000
CELL_PARAMETERS angstrom
6.090 0.000 0.000
0.000 6.090 0.000
0.000 0.000 5.885
```

=====

No. 5
## CaTc4O8 (PBE-GGA)

Data for a relaxed CaTc4O8 crystal. Values from VASP.

## Properties
The calculated volume comes out at 165.24 Å³ per cell. The total DFT energy (no corrections) comes out at -102.50 eV/f.u. As for the formation energy without anion corrections: -1.490 eV/atom.

Cell and atoms, written as Quantum ESPRESSO input:
```
&SYSTEM
  ibrav = 0, nat = 13, ntyp = 3
/
ATOMIC_SPECIES
Ca 40.08 Ca.upf
Tc 98.00 Tc.upf
O 16.00 O.upf
ATOMIC_POSITIONS crystal
Ca 0.000 0.000 0.000
Tc 0.000 0.000 0.500
Tc 0.000 0.500 0.000
Tc 0.500 0.000 0.000
Tc 0.500 0.500 0.500
O 0.237 0.237 0.237
O 0.238 0.739 0.739
O 0.261 0.261 0.762
O 0.261 0.762 0.261
O 0.739 0.238 0.739
O 0.739 0.739 0.238
O 0.762 0.261 0.261
O 0.763 0.763 0.763
CELL_PARAMETERS angstrom
2.775 1.602 6.193
-2.775 1.602 6.193
0.000 -3.205 6.193
```

=====

No. 6
## TaMo2Ir (PBE-GGA)

Data for a relaxed TaMo2Ir crystal. Values from VASP.

## Properties
The calculated volume comes out at 64.33 Å³ per cell. The total DFT energy (no corrections) comes out at -42.80 eV/f.u. The formation energy comes out at -105 meV per atom. The polymorph energy (0 for the lowest one) comes out at 48 meV/atom.

Cell and atoms, written as Quantum ESPRESSO input:
```
&SYSTEM
  ibrav = 0, nat = 4, ntyp = 3
/
ATOMIC_SPECIES
Ta 180.95 Ta.upf
Mo 95.94 Mo.upf
Ir 192.22 Ir.upf
ATOMIC_POSITIONS crystal
Ta 0.000 0.000 0.000
Mo 0.250 0.250 0.250
Mo 0.500 0.500 0.500
Ir 0.750 0.750 0.750
CELL_PARAMETERS angstrom
0.000 3.180 3.180
3.180 0.000 3.180
3.180 3.180 0.000
```

=====

No. 7
## SrPuP (PBE-GGA)

Data for a relaxed SrPuP crystal. Values from VASP.

## Properties
The calculated volume comes out at 101.21 Å³ per cell. The total DFT energy (no corrections) comes out at -23.10 eV/f.u. The formation energy comes out at -559 meV per atom.

Cell and atoms, written as Quantum ESPRESSO input:
```
&SYSTEM
  ibrav = 0, nat = 3, ntyp = 3
/
ATOMIC_SPECIES
Sr 87.62 Sr.upf
Pu 244.00 Pu.upf
P 30.97 P.upf
ATOMIC_POSITIONS crystal
Sr 0.000 0.000 0.000
Pu 0.667 0.333 0.520
P 0.333 0.667 0.727
CELL_PARAMETERS angstrom
4.073 0.000 0.000
-2.037 3.527 0.000
0.000 0.000 7.044
```

=====

No. 8
## Dy2TmAg (PBE-GGA)

Data for a relaxed Dy2TmAg crystal. Values from VASP.

## Properties
The calculated volume comes out at 220.91 Å³ per cell. The total DFT energy (no corrections) comes out at -17.06 eV/f.u. The formation energy comes out at -133 meV per atom. The polymorph energy (0 for the lowest one) comes out at 0 meV/atom.

Cell and atoms, written as Quantum ESPRESSO input:
```
&SYSTEM
  ibrav = 0, nat = 8, ntyp = 3
/
ATOMIC_SPECIES
Dy 162.50 Dy.upf
Tm 168.93 Tm.upf
Ag 107.87 Ag.upf
ATOMIC_POSITIONS crystal
Dy 0.000 0.500 0.500
Dy 0.142 0.142 0.000
Dy 0.500 0.000 0.500
Dy 0.858 0.858 0.000
Tm 0.356 0.356 0.000
Tm 0.644 0.644 0.000
Ag 0.250 0.750 0.500
Ag 0.750 0.250 0.500
CELL_PARAMETERS angstrom
-2.506 2.506 8.793
2.506 -2.506 8.793
2.506 2.506 -8.793
```

=====

No. 9
## Ca3AcGa2 (PBE-GGA)

Data for a relaxed Ca3AcGa2 crystal. Values from VASP.

## Properties
The calculated volume comes out at 375.24 Å³ per cell. The total DFT energy (no corrections) comes out at -18.24 eV/f.u. The formation energy comes out at -346 meV per atom.

Cell and atoms, written as Quantum ESPRESSO input:
```
&SYSTEM
  ibrav = 0, nat = 12, ntyp = 3
/
ATOMIC_SPECIES
Ca 40.08 Ca.upf
Ac 227.00 Ac.upf
Ga 69.72 Ga.upf
ATOMIC_POSITIONS crystal
Ca 0.000 0.074 0.000
Ca 0.000 0.306 0.373
Ca 0.000 0.694 0.873
Ca 0.000 0.926 0.500
Ca 0.500 0.171 0.678
Ca 0.500 0.829 0.178
Ac 0.500 0.435 0.051
Ac 0.500 0.565 0.551
Ga 0.000 0.367 0.779
Ga 0.000 0.633 0.279
Ga 0.500 0.139 0.267
Ga 0.500 0.861 0.767
CELL_PARAMETERS angstrom
5.052 0.000 0.000
0.000 9.625 0.000
0.000 0.000 7.717
```

=====

No. 10
## NaAg2Se2 (PBE-GGA)

Data for a relaxed NaAg2Se2 crystal. Values from VASP.

## Properties
The calculated volume comes out at 121.65 Å³ per cell. The total DFT energy (no corrections) comes out at -15.29 eV/f.u. The polymorph energy (0 for the lowest one) comes out at 67 meV/atom. As for the formation energy without anion corrections: -0.259 eV/atom.

Cell and atoms, written as Quantum ESPRESSO input:
```
&SYSTEM
  ibrav = 0, nat = 5, ntyp = 3
/
ATOMIC_SPECIES
Na 22.99 Na.upf
Ag 107.87 Ag.upf
Se 78.96 Se.upf
ATOMIC_POSITIONS crystal
Na 0.000 0.000 0.000
Ag 0.332 0.332 0.000
Ag 0.668 0.668 0.000
Se 0.250 0.750 0.500
Se 0.750 0.250 0.500
CELL_PARAMETERS angstrom
-2.595 2.595 4.517
2.595 -2.595 4.517
2.595 2.595 -4.517
```

=====

No. 11
## LaDyTl3 (PBE-GGA)

Data for a relaxed LaDyTl3 crystal. Values from VASP.

## Properties
The calculated volume comes out at 315.77 Å³ per cell. The total DFT energy (no corrections) comes out at -17.61 eV/f.u. The formation energy comes out at -197 meV per atom.

Cell and atoms, written as Quantum ESPRESSO input:
```
&SYSTEM
  ibrav = 0, nat = 10, ntyp = 3
/
ATOMIC_SPECIES
La 138.91 La.upf
Dy 162.50 Dy.upf
Tl 204.38 Tl.upf
ATOMIC_POSITIONS crystal
La 0.333 0.667 0.250
La 0.667 0.333 0.750
Dy 0.000 0.000 0.000
Dy 0.000 0.000 0.500
Tl 0.199 0.398 0.750
Tl 0.199 0.801 0.750
Tl 0.398 0.199 0.250
Tl 0.602 0.801 0.750
Tl 0.801 0.199 0.250
Tl 0.801 0.602 0.250
CELL_PARAMETERS angstrom
7.415 0.000 0.000
-3.708 6.422 0.000
0.000 0.000 6.630
```

=====

No. 12
## NaCuBiS2 (PBE-GGA)

Data for a relaxed NaCuBiS2 crystal. Values from VASP.

## Properties
The calculated volume comes out at 241.02 Å³ per cell. The total DFT energy (no corrections) comes out at -19.50 eV/f.u. As for the formation energy without anion corrections: -0.389 eV/atom.

Cell and atoms, written as Quantum ESPRESSO input:
```
&SYSTEM
  ibrav = 0, nat = 10, ntyp = 4
/
ATOMIC_SPECIES
Na 22.99 Na.upf
Cu 63.55 Cu.upf
Bi 208.98 Bi.upf
S 32.06 S.upf
ATOMIC_POSITIONS crystal
Na 0.000 0.178 0.250
Na 0.000 0.822 0.750
Cu 0.500 0.000 0.000
Cu 0.500 0.000 0.500
Bi 0.500 0.486 0.750
Bi 0.500 0.514 0.250
S 0.237 0.313 0.952
S 0.237 0.687 0.452
S 0.763 0.313 0.548
S 0.763 0.687 0.048
CELL_PARAMETERS angstrom
6.975 0.000 0.000
0.000 4.169 0.000
-2.073 0.000 8.288
```

=====

Look up the calculated volume of the tenth one. 121.65 Å³ per cell